(1)
Below is a relaxed structure of As2PIBr, with properties calculated at the PBE-GGA level.

Cell: 5.045 5.045 4.949 Å, 90.00 90.00 90.00°
Sites, in units of the cell vectors:
I  0.500  0.500  0.500
Br  0.000  0.000  0.500
As  0.000  0.500  0.000
As  0.500  0.000  0.000
P  0.000  0.000  0.000

Summary:
Space-group type: No. 123
Formation energy from raw total energies, eV/atom: 0.58
Distance to the lowest polymorph of the same formula, eV per formula unit: 0.00

(2)
Below is a relaxed structure of RbP2I, with properties calculated at the PBE-GGA level.

Cell: 5.355 5.355 5.355 Å, 60.00 60.00 60.00°
Sites, in units of the cell vectors:
I  0.500  0.500  0.500
P  0.250  0.250  0.250
P  0.750  0.750  0.750
Rb  0.000  0.000  0.000

Summary:
Space-group type: No. 225
Formation energy from raw total energies, eV/atom: 0.90
Distance to the lowest polymorph of the same formula, eV per formula unit: 0.87

(3)
Below is a relaxed structure of CsLa2SbPd, with properties calculated at the PBE-GGA level.

Cell: 5.891 5.031 5.891 Å, 90.00 90.00 90.00°
Sites, in units of the cell vectors:
Pd  0.000  0.500  0.000
La  0.500  0.000  0.000
La  0.000  0.000  0.500
Cs  0.000  0.000  0.000
Sb  0.500  0.500  0.500

Summary:
Space-group type: No. 123
Formation energy from raw total energies, eV/atom: 0.72

(4)
Below is a relaxed structure of ZnNiAg2, with properties calculated at the PBE-GGA level.

Cell: 2.875 2.875 7.370 Å, 90.00 90.00 90.00°
Sites, in units of the cell vectors:
Ag  0.000  0.000  0.491
Ag  0.000  0.000  0.009
Ni  0.500  0.500  0.250
Zn  0.500  0.500  0.750

Summary:
Formation enthalpy at 0 K, eV per atom: 0.12
Space-group type: No. 123

(5)
Below is a relaxed structure of Nb4CN2, with properties calculated at the PBE-GGA level.

Cell: 6.064 6.064 6.208 Å, 104.85 104.85 118.38°
Sites, in units of the cell vectors:
Nb  0.954  0.707  0.167
Nb  0.464  0.214  0.675
Nb  0.039  0.289  0.825
Nb  0.464  0.214  0.175
Nb  0.539  0.789  0.325
Nb  0.957  0.704  0.667
Nb  0.540  0.787  0.833
Nb  0.037  0.290  0.333
C  0.497  0.497  0.000
C  0.747  0.247  0.500
N  0.012  0.990  0.502
N  0.240  0.762  0.002
N  0.488  0.510  0.498
N  0.760  0.238  0.998

Summary:
Space-group type: No. 43
Formation energy from raw total energies, eV/atom: -0.75

(6)
Below is a relaxed structure of GdThTcPd, with properties calculated at the PBE-GGA level.

Cell: 5.012 5.012 5.012 Å, 60.00 60.00 60.00°
Each line ends with the local moment (μB).
Sites, in units of the cell vectors:
Gd  0.000  0.000  0.000  7.04
Tc  0.250  0.250  0.250  -0.15
Pd  0.750  0.750  0.750  0.01
Th  0.500  0.500  0.500  0.02

Summary:
Formation enthalpy at 0 K, eV per atom: -0.38
Space-group type: No. 216

(7)
Below is a relaxed structure of Ca2GaRuN, with properties calculated at the PBE-GGA level.

Cell: 4.983 4.983 3.834 Å, 90.00 90.00 90.00°
Sites, in units of the cell vectors:
Ga  0.500  0.500  0.500
Ru  0.000  0.000  0.500
Ca  0.500  0.000  0.000
Ca  0.000  0.500  0.000
N  0.000  0.000  0.000

Summary:
Space-group type: No. 123
Formation energy from raw total energies, eV/atom: -0.50

no.,D(E_F) (states/eV per cell),volume (Å³/cell)
1,4.68,125.95
2,5.28,108.59
3,3.36,174.57
4,2.40,60.91
5,7.81,173.90
6,3.52,89.02
7,1.80,95.19